# Pm3Cu2Pt3, optimized geometry, DFT GGA-PBE
# total magnetic moment = 0.0 μB per cell
# energy of formation from the pure elements = -0.8238 eV per atom
# calculated total energy = -5.89 eV/atom
data_Pm3Cu2Pt3
_space_group_name_H-M_alt 'C m c m'
_space_group_IT_number 63
_space_group_name_Hall '-C 2c 2'
_cell_length_a 4.2745
_cell_length_b 10.7415
_cell_length_c 14.7591
_cell_angle_alpha 90.00
_cell_angle_beta 90.00
_cell_angle_gamma 90.00
loop_
_atom_site_label
_atom_site_type_symbol
_atom_site_fract_x
_atom_site_fract_y
_atom_site_fract_z
Pm1 Pm 0.0000 0.0882 0.1033
Pm2 Pm 0.0000 0.3633 0.2500
Cu1 Cu 0.0000 0.2137 0.6020
Pt1 Pt 0.0000 0.3510 0.7500
Pt2 Pt 0.0000 0.3872 0.0448



# PmCu2Pt5, optimized geometry, DFT GGA-PBE
# total magnetic moment = 0.0 μB per cell
# energy of formation from the pure elements = -0.3755 eV per atom
# calculated total energy = -5.77 eV/atom
data_PmCu2Pt5
_space_group_name_H-M_alt 'I m m m'
_space_group_IT_number 71
_space_group_name_Hall '-I 2 2'
_cell_length_a 3.8229
_cell_length_b 7.4946
_cell_length_c 9.5414
_cell_angle_alpha 90.00
_cell_angle_beta 90.00
_cell_angle_gamma 90.00
loop_
_atom_site_label
_atom_site_type_symbol
_atom_site_fract_x
_atom_site_fract_y
_atom_site_fract_z
Pm1 Pm 0.0000 0.0000 0.0000
Cu1 Cu 0.0000 0.5000 0.2653
Pt1 Pt 0.0000 0.1900 0.3518
Pt2 Pt 0.0000 0.5000 0.0000



# PmCu2Pt, optimized geometry, DFT GGA-PBE
# total magnetic moment = 0.0 μB per cell
# energy of formation from the pure elements = -0.4956 eV per atom
# calculated total energy = -5.24 eV/atom
# energy relative to the lowest polymorph listed for this composition = 0.0000 eV/atom
data_PmCu2Pt
_space_group_name_H-M_alt 'P n m a'
_space_group_IT_number 62
_cell_length_a 7.8789
_cell_length_b 6.9890
_cell_length_c 5.3506
_cell_angle_alpha 90.00
_cell_angle_beta 90.00
_cell_angle_gamma 90.00
loop_
_space_group_symop_operation_xyz
'x,y,z'
'-x,-y,-z'
'-x+1/2,-y,z+1/2'
'x+1/2,y,-z+1/2'
'x+1/2,-y+1/2,-z+1/2'
'-x+1/2,y+1/2,z+1/2'
'-x,y+1/2,-z'
'x,-y+1/2,z'
loop_
_atom_site_label
_atom_site_type_symbol
_atom_site_fract_x
_atom_site_fract_y
_atom_site_fract_z
Pm1 Pm 0.0501 0.2500 0.1236
Cu1 Cu 0.1748 0.0613 0.5973
Pt1 Pt 0.1111 0.7500 0.3589



# PmCu6Pt4, optimized geometry, DFT GGA-PBE
# total magnetic moment = 0.0 μB per cell
# energy of formation from the pure elements = -0.0837 eV per atom
# calculated total energy = -4.95 eV/atom
data_PmCu6Pt4
_space_group_name_H-M_alt 'I -4 2 m'
_space_group_IT_number 121
_space_group_name_Hall 'I -4 2'
_cell_length_a 6.1353
_cell_length_b 6.1353
_cell_length_c 9.5311
_cell_angle_alpha 90.00
_cell_angle_beta 90.00
_cell_angle_gamma 90.00
loop_
_atom_site_label
_atom_site_type_symbol
_atom_site_fract_x
_atom_site_fract_y
_atom_site_fract_z
Pm1 Pm 0.0000 0.0000 0.0000
Cu1 Cu 0.0000 0.5000 0.0000
Cu2 Cu 0.1529 0.1529 0.5853
Pt1 Pt 0.2286 0.2286 0.3186



# Pm3Cu3Pt2, optimized geometry, DFT GGA-PBE
# total magnetic moment = 0.0 μB per cell
# energy of formation from the pure elements = -0.6352 eV per atom
# calculated total energy = -5.46 eV/atom
data_Pm3Cu3Pt2
_space_group_name_H-M_alt 'C m c m'
_space_group_IT_number 63
_space_group_name_Hall '-C 2c 2'
_cell_length_a 4.2134
_cell_length_b 10.5314
_cell_length_c 15.4871
_cell_angle_alpha 90.00
_cell_angle_beta 90.00
_cell_angle_gamma 90.00
loop_
_atom_site_label
_atom_site_type_symbol
_atom_site_fract_x
_atom_site_fract_y
_atom_site_fract_z
Pm1 Pm 0.0000 0.1150 0.0912
Pm2 Pm 0.0000 0.3833 0.2500
Cu1 Cu 0.0000 0.3330 0.7500
Cu2 Cu 0.0000 0.4076 0.0467
Pt1 Pt 0.0000 0.1857 0.6154



# Pm6CuPt2, optimized geometry, DFT GGA-PBE
# total magnetic moment = 0.0 μB per cell
# energy of formation from the pure elements = -0.4469 eV per atom
# calculated total energy = -5.41 eV/atom
data_Pm6CuPt2
_space_group_name_H-M_alt 'I m m m'
_space_group_IT_number 71
_space_group_name_Hall '-I 2 2'
_cell_length_a 4.9691
_cell_length_b 7.0483
_cell_length_c 15.0472
_cell_angle_alpha 90.00
_cell_angle_beta 90.00
_cell_angle_gamma 90.00
loop_
_atom_site_label
_atom_site_type_symbol
_atom_site_fract_x
_atom_site_fract_y
_atom_site_fract_z
Pm1 Pm 0.0000 0.2460 0.0000
Pm2 Pm 0.0000 0.2509 0.3332
Cu1 Cu 0.0000 0.0000 0.5000
Pt1 Pt 0.0000 0.0000 0.1664



# Pm2Cu3Pt4, optimized geometry, DFT GGA-PBE
# total magnetic moment = 0.0 μB per cell
# energy of formation from the pure elements = -0.6921 eV per atom
# calculated total energy = -5.80 eV/atom
data_Pm2Cu3Pt4
_space_group_name_H-M_alt 'C m c e'
_space_group_IT_number 64
_space_group_name_Hall '-C 2ac 2'
_cell_length_a 5.5411
_cell_length_b 15.1793
_cell_length_c 7.6224
_cell_angle_alpha 90.00
_cell_angle_beta 90.00
_cell_angle_gamma 90.00
loop_
_atom_site_label
_atom_site_type_symbol
_atom_site_fract_x
_atom_site_fract_y
_atom_site_fract_z
Pm1 Pm 0.0000 0.1099 0.0917
Cu1 Cu 0.0000 0.0000 0.5000
Cu2 Cu 0.2500 0.2358 0.7500
Pt1 Pt 0.0000 0.1729 0.4826
Pt2 Pt 0.2500 0.0638 0.7500



# Pm2Cu15Pt2, optimized geometry, DFT GGA-PBE
# total magnetic moment = 0.0 μB per cell
# energy of formation from the pure elements = -0.1923 eV per atom
# calculated total energy = -4.56 eV/atom
data_Pm2Cu15Pt2
_space_group_name_H-M_alt 'R -3 m'
_space_group_IT_number 166
_space_group_name_Hall '-R 3 2"'
_cell_length_a 8.6980
_cell_length_b 8.6980
_cell_length_c 12.6034
_cell_angle_alpha 90.00
_cell_angle_beta 90.00
_cell_angle_gamma 120.00
loop_
_atom_site_label
_atom_site_type_symbol
_atom_site_fract_x
_atom_site_fract_y
_atom_site_fract_z
Pm1 Pm 0.0000 0.0000 0.1608
Cu1 Cu 0.0000 0.2930 0.5000
Cu2 Cu 0.0000 0.5000 0.0000
Cu3 Cu 0.0022 0.5011 0.6524
Pt1 Pt 0.0000 0.0000 0.3929